# BaMnIO2

An optimized crystal structure of BaMnIO2 (PBE with a Hubbard U, Alexandria).

Properties
* symmetry: No. 123
* energy: -22.65 eV per cell
* V: 29.64 Å³/atom
* offset from the most stable computed form: 1.586 eV per atom
* N(E_F): 0.51 states/eV per atom

Lattice parameters (Å, degrees): 4.5966 4.5966 7.0150 90.00 90.00 90.00
Site moments in Bohr magnetons follow the coordinates.
Fractional coordinates of all 5 atoms:
1 I 0.0000 0.0000 0.5000  0.05
2 Mn 0.5000 0.5000 0.5000  4.89
3 Ba 0.0000 0.0000 0.0000  -0.01
4 O 0.0000 0.5000 0.0000  -0.02
5 O 0.5000 0.0000 0.0000  -0.02

# BaMnI2O8

An optimized crystal structure of BaMnI2O8 (PBE with a Hubbard U, Alexandria).

Properties
* symmetry: No. 148
* energy: -63.81 eV per cell
* V: 14.85 Å³/atom

Lattice parameters (Å, degrees): 5.4362 5.4362 7.6387 69.16 69.16 60.00
Site moments in Bohr magnetons follow the coordinates.
Fractional coordinates of all 12 atoms:
1 Ba 0.5000 0.5000 0.5000  0.00
2 Mn 0.0000 0.0000 0.0000  3.10
3 I 0.2843 0.2843 0.1472  0.02
4 I 0.7157 0.7157 0.8528  0.02
5 O 0.1972 0.1972 0.4085  -0.01
6 O 0.6682 0.2506 0.1607  -0.03
7 O 0.8028 0.8028 0.5915  -0.01
8 O 0.9205 0.6682 0.1607  -0.03
9 O 0.0795 0.3318 0.8393  -0.03
10 O 0.2506 0.9205 0.1607  -0.03
11 O 0.7494 0.0795 0.8393  -0.03
12 O 0.3318 0.7494 0.8393  -0.03